First-principles (SCAN) data for a PBEsol-optimized structure of Cu2ReHg, as listed in Alexandria via LeMat-Bulk.

As for the formation enthalpy at 0 K: 0.3701 eV per atom. As for the crystal system: tetragonal.

The structure belongs to space group P4/mmm (No. 123); the cell edges are 2.695, 2.695 and 7.920 Å and the angles 90.00°, 90.00° and 90.00°. The inequivalent atoms are Cu at (0.000, 0.000, 0.232), Re at (0.500, 0.500, 0.000) and Hg at (0.500, 0.500, 0.500).